No. 1
Material: Y2SbPb2
Method: DFT, PBE-GGA
State: optimized geometry

abc: 8.0187 8.0187 4.7079
angles: 90.00 90.00 90.00
Last column: nearest neighbours and their distance in Å.
Element x y z (fractional)
Pb (0.1404, 0.6404, 0.5000)  1 Pb 3.18, 6 Y 3.21-3.42
Pb (0.6404, 0.8596, 0.5000)  1 Pb 3.18, 6 Y 3.21-3.42
Pb (0.8596, 0.3596, 0.5000)  1 Pb 3.18, 6 Y 3.21-3.42
Pb (0.3596, 0.1404, 0.5000)  1 Pb 3.18, 6 Y 3.21-3.42
Sb (0.0000, 0.0000, 0.0000)  4 Y 2.99
Sb (0.5000, 0.5000, 0.0000)  4 Y 2.99
Y (0.3330, 0.8330, 0.0000)  2 Sb 2.99, 2 Pb 3.21
Y (0.8330, 0.6670, 0.0000)  2 Sb 2.99, 2 Pb 3.21
Y (0.6670, 0.1670, 0.0000)  2 Sb 2.99, 2 Pb 3.21
Y (0.1670, 0.3330, 0.0000)  2 Sb 2.99, 2 Pb 3.21

Output
Energy above the lowest structure with this stoichiometry ... 0 meV per atom
Total moment ... 0.00 μB per cell
SG ... P4/mbm (127)
Total DFT energy (no corrections) ... -5.416 eV per atom



No. 2
Material: NaMg2Cu
Method: DFT, PBE-GGA
State: optimized geometry

abc: 4.2927 4.2927 10.4975
angles: 78.20 78.20 90.00
Last column: nearest neighbours and their distance in Å.
Element x y z (fractional)
Na (0.5000, 0.5000, 0.0000)  4 Mg 2.98, 4 Cu 3.04
Na (0.2500, 0.7500, 0.5000)  4 Mg 2.98, 4 Cu 3.04
Mg (0.6506, 0.1250, 0.2500)  4 Mg 2.88-3.19, 2 Cu 2.90, 2 Na 2.98
Mg (0.0994, 0.6250, 0.2500)  4 Mg 2.88-3.19, 2 Cu 2.90, 2 Na 2.98
Mg (0.3750, 0.3494, 0.7500)  4 Mg 2.88-3.19, 2 Cu 2.90, 2 Na 2.98
Mg (0.8750, 0.9006, 0.7500)  4 Mg 2.88-3.19, 2 Cu 2.90, 2 Na 2.98
Cu (0.0000, 0.0000, 0.0000)  4 Mg 2.90, 4 Na 3.04
Cu (0.7500, 0.2500, 0.5000)  4 Mg 2.90, 4 Na 3.04

Output
Total moment ... 0.00 μB per cell
SG ... I-42d (122)
Formation enthalpy at 0 K ... 133 kJ/mol of formula units
Total DFT energy (no corrections) ... -1.806 eV per atom